a:
Below is a relaxed Pm3IrPt2 crystal, with properties calculated at the PBE level.

## Properties
total magnetization	0.00	μB/f.u.
calculated volume	135.9	Å³/f.u.

Cell: 3.5431 3.5431 10.8227 Å, 90.00 90.00 90.00°
With the nearest neighbours (Å) after each atom.
Positions (direct):
Pm1 0.0000 0.0000 0.0000  8 Pt 3.09
Pm2 0.0000 0.0000 0.6595  4 Ir 3.04, 4 Pt 3.13
Pm3 0.0000 0.0000 0.3405  4 Ir 3.04, 4 Pt 3.13
Ir1 0.5000 0.5000 0.5000  8 Pm 3.04
Pt1 0.5000 0.5000 0.8333  8 Pm 3.09-3.13
Pt2 0.5000 0.5000 0.1667  8 Pm 3.09-3.13

=====

b:
Below is a relaxed Pm3IrPt2 crystal, with properties calculated at the PBE level.

## Properties
total magnetization	0.00	μB/f.u.
calculated volume	147.2	Å³/f.u.

Cell: 4.1782 11.8446 11.8978 Å, 90.00 90.00 90.00°
With the nearest neighbours (Å) after each atom.
Positions (direct):
Pm1 0.2500 0.3767 0.0471  5 Pt 3.00-3.04, 1 Ir 3.12
Pm2 0.7500 0.6233 0.9529  5 Pt 3.00-3.04, 1 Ir 3.12
Pm3 0.7500 0.8767 0.4529  5 Pt 3.00-3.04, 1 Ir 3.12
Pm4 0.2500 0.1233 0.5471  5 Pt 3.00-3.04, 1 Ir 3.12
Pm5 0.2500 0.6936 0.2214  2 Ir 2.90, 3 Pt 2.91-3.13
Pm6 0.7500 0.3064 0.7786  2 Ir 2.90, 3 Pt 2.91-3.13
Pm7 0.7500 0.1936 0.2786  2 Ir 2.90, 3 Pt 2.91-3.13
Pm8 0.2500 0.8064 0.7214  2 Ir 2.90, 3 Pt 2.91-3.13
Pm9 0.2500 0.4443 0.3785  3 Ir 2.99-3.03, 4 Pt 3.04-3.24
Pm10 0.7500 0.5557 0.6215  3 Ir 2.99-3.03, 4 Pt 3.04-3.24
Pm11 0.7500 0.9443 0.1215  3 Ir 2.99-3.03, 4 Pt 3.04-3.24
Pm12 0.2500 0.0557 0.8785  3 Ir 2.99-3.03, 4 Pt 3.04-3.24
Ir1 0.2500 0.1249 0.1234  3 Pt 2.71-2.78, 5 Pm 2.90-3.03
Ir2 0.7500 0.8751 0.8766  3 Pt 2.71-2.78, 5 Pm 2.90-3.03
Ir3 0.7500 0.6249 0.3766  3 Pt 2.71-2.78, 5 Pm 2.90-3.03
Ir4 0.2500 0.3751 0.6234  3 Pt 2.71-2.78, 5 Pm 2.90-3.03
Pt1 0.2500 0.6985 0.5019  2 Ir 2.71, 3 Pm 2.91-3.03
Pt2 0.7500 0.3015 0.4981  2 Ir 2.71, 3 Pm 2.91-3.03
Pt3 0.7500 0.1985 0.9981  2 Ir 2.71, 3 Pm 2.91-3.03
Pt4 0.2500 0.8015 0.0019  2 Ir 2.71, 3 Pm 2.91-3.03
Pt5 0.2500 0.0015 0.3221  1 Ir 2.78, 3 Pm 3.00-3.04
Pt6 0.7500 0.9985 0.6779  1 Ir 2.78, 3 Pm 3.00-3.04
Pt7 0.7500 0.5015 0.1779  1 Ir 2.78, 3 Pm 3.00-3.04
Pt8 0.2500 0.4985 0.8221  1 Ir 2.78, 3 Pm 3.00-3.04

=====

Quick one: least stable of them? b

=====

a:
Below is a relaxed Pm8Ir2Pt crystal, with properties calculated at the PBE level.

## Properties
total magnetization	0.00	μB/f.u.
calculated volume	307.1	Å³/f.u.

Cell: 5.0342 6.9691 9.2382 Å, 99.65 105.81 90.00°
With the nearest neighbours (Å) after each atom.
Positions (direct):
Pm1 0.4107 0.5579 0.8215  1 Pt 3.21, 5 Pm 3.40-3.54
Pm2 0.6678 0.9657 0.3356  3 Ir 2.82-3.10, 1 Pt 3.03
Pm3 0.7964 0.6657 0.5928  3 Ir 2.81-3.11
Pm4 0.9626 0.2231 0.9251  1 Ir 2.99, 2 Pt 3.09
Pm5 0.2036 0.3343 0.4072  3 Ir 2.81-3.11
Pm6 0.3322 0.0343 0.6644  3 Ir 2.82-3.10, 1 Pt 3.03
Pm7 0.5893 0.4421 0.1785  1 Pt 3.21, 5 Pm 3.40-3.54
Pm8 0.0374 0.7769 0.0749  1 Ir 2.99, 2 Pt 3.09
Ir1 0.7978 0.2629 0.5955  7 Pm 2.81-3.11
Ir2 0.2022 0.7371 0.4045  7 Pm 2.81-3.11
Pt1 0.5000 0.0000 0.0000  8 Pm 3.03-3.21

=====

b:
Below is a relaxed Pm8Ir2Pt crystal, with properties calculated at the PBE level.

## Properties
total magnetization	0.00	μB/f.u.
calculated volume	323.6	Å³/f.u.

Cell: 6.3446 7.6267 7.6267 Å, 111.94 100.52 100.52°
With the nearest neighbours (Å) after each atom.
Positions (direct):
Pm1 0.5928 0.3468 0.0810  2 Ir 2.85, 1 Pt 3.14
Pm2 0.5928 0.0810 0.3468  2 Ir 2.85, 1 Pt 3.14
Pm3 0.1804 0.3640 0.3640  1 Pt 3.03, 2 Ir 3.04
Pm4 0.9813 0.2086 0.7888  1 Pt 2.92
Pm5 0.9813 0.7888 0.2086  1 Pt 2.92
Pm6 0.7902 0.6463 0.6463  2 Ir 3.02, 1 Pt 3.26
Pm7 0.3636 0.9242 0.6556  2 Ir 2.87, 1 Pt 3.04
Pm8 0.3636 0.6556 0.9242  2 Ir 2.87, 1 Pt 3.04
Ir1 0.4885 0.6905 0.3196  6 Pm 2.85-3.04
Ir2 0.4885 0.3196 0.6905  6 Pm 2.85-3.04
Pt1 0.1766 0.0085 0.0085  8 Pm 2.92-3.26

=====

Quick one: least stable of them? b

=====

a:
Below is a relaxed PmIrPt crystal, with properties calculated at the PBE level.

## Properties
total magnetization	0.00	μB/f.u.
calculated volume	65.1	Å³/f.u.

Cell: 3.9328 4.3720 4.3720 Å, 120.00 90.00 90.00°
With the nearest neighbours (Å) after each atom.
Positions (direct):
Ir1 0.1667 0.6667 0.3333  3 Pt 2.52
Pt1 0.1667 0.0000 0.0000  3 Ir 2.52
Pm1 0.6667 0.3333 0.6667  6 Ir 3.20, 6 Pt 3.20

=====

b:
Below is a relaxed PmIrPt crystal, with properties calculated at the PBE level.

## Properties
total magnetization	0.00	μB/f.u.
calculated volume	57.4	Å³/f.u.

Cell: 5.4617 5.4617 5.4617 Å, 90.32 59.73 120.10°
With the nearest neighbours (Å) after each atom.
Positions (direct):
Pm1 0.7500 0.8764 0.3736  6 Pt 3.19-3.22, 6 Ir 3.20, 4 Pm 3.33-3.36
Pm2 0.2500 0.1236 0.6264  6 Pt 3.19-3.22, 6 Ir 3.20, 4 Pm 3.33-3.36
Ir1 0.5000 0.0000 0.0000  2 Ir 2.73, 4 Pt 2.73
Ir2 0.0000 0.5000 0.0000  2 Ir 2.73, 4 Pt 2.73
Pt1 0.0000 0.5000 0.5000  2 Pt 2.72, 4 Ir 2.73
Pt2 0.5000 0.5000 0.0000  2 Pt 2.72, 4 Ir 2.73

=====

c:
Below is a relaxed PmIrPt crystal, with properties calculated at the PBE level.

## Properties
total magnetization	0.00	μB/f.u.
calculated volume	62.0	Å³/f.u.

Cell: 3.5813 3.5813 5.4570 Å, 109.16 109.16 90.00°
With the nearest neighbours (Å) after each atom.
Positions (direct):
Ir1 0.6538 0.6538 0.3076  4 Pt 2.69, 1 Pm 2.86
Pt1 0.2463 0.2463 0.4925  4 Ir 2.69, 1 Pm 2.86
Pm1 0.9499 0.9499 0.8999  1 Ir 2.86, 1 Pt 2.86

=====

Quick one: least stable of them? c